(1)
Compound: Cr3AsP
Source: Alexandria via LeMat-Bulk
Functional: SCAN
Structure: PBEsol geometry

* N(E_F): 2.6 states/eV/cell
* E: -84.27 eV/cell

Lattice parameters (Å, degrees): 4.258 4.258 4.258 90.00 90.00 90.00
Space group Pm-3m (No. 221)
Inequivalent atoms, fractional coordinates:
Cr 0.000 0.000 0.500
As 0.500 0.500 0.500
P 0.000 0.000 0.000



(2)
Compound: Cr2AsP
Source: Alexandria via LeMat-Bulk
Functional: SCAN
Structure: PBEsol geometry

* N(E_F): 17.2 states/eV/cell
* E: -268.96 eV/cell

Lattice parameters (Å, degrees): 5.750 5.750 5.750 90.00 90.00 90.00
Space group Fm-3m (No. 225)
Inequivalent atoms, fractional coordinates:
Cr 0.250 0.250 0.250
As 0.000 0.000 0.000
P 0.000 0.000 0.500



(3)
Compound: CrAsP2S
Source: Alexandria via LeMat-Bulk
Functional: SCAN
Structure: PBEsol geometry

* energy relative to the elements, uncorrected: 0.571 eV per atom
* N(E_F): 3.0 states/eV/cell
* E: -66.15 eV/cell

Lattice parameters (Å, degrees): 4.548 4.548 4.124 90.00 90.00 90.00
Space group P4/mmm (No. 123)
Inequivalent atoms, fractional coordinates:
Cr 0.000 0.000 0.000
As 0.500 0.500 0.500
P 0.000 0.500 0.000
S 0.000 0.000 0.500



(4)
Compound: Cr2AsRhPb
Source: Alexandria via LeMat-Bulk
Functional: SCAN
Structure: PBEsol geometry

* N(E_F): 2.6 states/eV/cell
* E: -158.43 eV/cell

Lattice parameters (Å, degrees): 4.996 4.996 5.153 90.00 90.00 90.00
Space group P4/mmm (No. 123)
Inequivalent atoms, fractional coordinates:
Cr 0.000 0.500 0.000
As 0.000 0.000 0.500
Rh 0.500 0.500 0.500
Pb 0.000 0.000 0.000